ScBeV2Os | PBE-GGA | relaxed

Properties
VASP energy (eV per cell): -36.0
Energy of formation from the pure elements (eV/atom): 0.702
Size of the total moment (μB per cell): 0.000
Volume (Å³/cell): 75

Cell lengths 4.057, 4.057, 4.570 Å; angles 90.00, 90.00, 90.00 degrees
Space group P4/mmm (No. 123)
Inequivalent atoms, fractional coordinates:
Sc (0.000, 0.000, 0.000) x1
Be (0.000, 0.000, 0.500) x1
V (0.000, 0.500, 0.500) x2
Os (0.500, 0.500, 0.000) x1